Pm7Pr12Pb | Alexandria | GGA-PBE | relaxed; magnetization = 0.0 μB per formula unit; energy relative to the elements = 107.7 meV/atom; electronic total energy = -4.61 eV/atom; density of states at the Fermi level = 1.647 states/eV per atom; crystal system = trigonal; volume = 705.4 Å³ per cell
1.0
6.262 3.615 5.193
-6.262 3.615 5.193
0.000 -7.231 5.193
Pm Pr Pb
7 12 1
Direct
0.000 0.000 0.000
0.119 0.435 0.354
0.354 0.119 0.435
0.435 0.354 0.119
0.565 0.646 0.881
0.646 0.881 0.565
0.881 0.565 0.646
0.002 0.119 0.644
0.119 0.644 0.002
0.233 0.760 0.622
0.240 0.378 0.767
0.356 0.998 0.881
0.378 0.767 0.240
0.622 0.233 0.760
0.644 0.002 0.119
0.760 0.622 0.233
0.767 0.240 0.378
0.881 0.356 0.998
0.998 0.881 0.356
0.500 0.500 0.500

---

KNiAu4 | Alexandria | GGA-PBE | relaxed; magnetization = 0.8 μB per formula unit; energy relative to the elements = 173.3 meV/atom; electronic total energy = -3.16 eV/atom; density of states at the Fermi level = 1.708 states/eV per atom; crystal system = cubic; volume = 124.3 Å³ per cell
1.0
0.000 3.961 3.961
3.961 0.000 3.961
3.961 3.961 0.000
K Ni Au
1 1 4
Direct
0.000 0.000 0.000
0.750 0.750 0.750
0.375 0.375 0.375
0.375 0.375 0.874
0.375 0.874 0.375
0.874 0.375 0.375

---

TlPtW2 | Alexandria | GGA-PBE | relaxed; magnetization = 0.0 μB per formula unit; energy relative to the elements = 477.9 meV/atom; electronic total energy = -8.10 eV/atom; density of states at the Fermi level = 0.654 states/eV per atom; crystal system = orthorhombic; volume = 70.4 Å³ per cell; relative energy among the computed polymorphs = 95 meV/atom
1.0
2.802 0.000 0.000
0.000 4.148 0.000
0.000 0.000 6.061
Tl Pt W
1 1 2
Direct
0.000 0.000 0.000
0.500 0.500 0.735
0.000 0.000 0.498
0.500 0.500 0.281

---

MgZn2Mo | Alexandria | GGA-PBE | relaxed; magnetization = 0.0 μB per formula unit; energy relative to the elements = 583.7 meV/atom; electronic total energy = -3.16 eV/atom; density of states at the Fermi level = 0.582 states/eV per atom; crystal system = tetragonal; volume = 140.8 Å³ per cell
1.0
-1.945 1.945 9.310
1.945 -1.945 9.310
1.945 1.945 -9.310
Mg Zn Mo
2 4 2
Direct
0.000 0.000 0.000
0.750 0.250 0.500
0.145 0.625 0.020
0.375 0.395 0.520
0.605 0.125 0.980
0.875 0.855 0.480
0.250 0.750 0.500
0.500 0.500 0.000